Below is a geometry-optimized KRbTlBi2 structure, with properties calculated at the PBE-GGA level.

Computed properties:
**Excess energy over the best structure of this formula in the dataset**: 0.000 eV per atom
**Crystal system**: orthorhombic
**Symmetry**: Imm2
**Energy of formation**: -0.21 eV per atom
**Total moment**: 0.0 μB per cell

a b c (Å): 4.590 5.942 8.419
angles (deg): 110.66 105.82 90.00
Fractional coordinates of all 5 atoms:
K 0.173 0.673 0.347
Rb 0.438 0.438 0.876
Tl 0.844 0.844 0.688
Bi 0.702 0.202 0.404
Bi 0.055 0.055 0.110

Below is a geometry-optimized KRbTl2Bi2 structure, with properties calculated at the PBE-GGA level.

Computed properties:
**Crystal system**: trigonal
**Symmetry**: P-3m1
**Energy of formation**: -0.24 eV per atom
**Total moment**: 0.0 μB per cell

a b c (Å): 5.584 5.584 8.676
angles (deg): 90.00 90.00 120.00
Fractional coordinates of all 6 atoms:
K 0.000 0.000 0.500
Rb 0.000 0.000 0.000
Tl 0.667 0.333 0.353
Tl 0.333 0.667 0.647
Bi 0.667 0.333 0.734
Bi 0.333 0.667 0.266

Below is a geometry-optimized K2RbTlBi structure, with properties calculated at the PBE-GGA level.

Computed properties:
**Crystal system**: tetragonal
**Symmetry**: P4/mmm
**Energy of formation**: -0.05 eV per atom
**Total moment**: 0.2 μB per cell

a b c (Å): 6.938 6.938 6.274
angles (deg): 90.00 90.00 90.00
Fractional coordinates of all 5 atoms:
K 0.000 0.500 0.000
K 0.500 0.000 0.000
Tl 0.000 0.000 0.500
Bi 0.000 0.000 0.000
Rb 0.500 0.500 0.500

Below is a geometry-optimized KRb2TlBi2 structure, with properties calculated at the PBE-GGA level.

Computed properties:
**Crystal system**: orthorhombic
**Symmetry**: Ibam
**Energy of formation**: -0.29 eV per atom
**Total moment**: 0.0 μB per cell

a b c (Å): 8.151 7.943 10.190
angles (deg): 112.94 113.58 90.00
Fractional coordinates of all 12 atoms:
K 0.000 0.750 0.000
K 0.000 0.250 0.000
Rb 0.442 0.171 0.342
Rb 0.558 0.829 0.658
Rb 0.099 0.329 0.658
Rb 0.901 0.671 0.342
Tl 0.500 0.750 0.000
Tl 0.500 0.250 0.000
Bi 0.809 0.104 0.207
Bi 0.398 0.604 0.207
Bi 0.602 0.396 0.793
Bi 0.191 0.896 0.793